# 1
## CsNa2Sn2 (meta-GGA SCAN)

Data for CsNa2Sn2 at its PBEsol-relaxed geometry.

Values from the calculation:
- Formation energy from the elements: -213 meV per atom
- Magnetization: 0.00 μB/f.u.
- Total energy: -119.15 eV per cell

Structure (POSCAR):
```
CsNa2Sn2
1.0
-5.266 -2.416 -0.537
1.580 -2.312 -5.101
3.587 -1.996 5.335
Cs Na Sn
1 2 2
Direct
0.000 0.000 0.000
0.250 0.750 0.500
0.750 0.250 0.500
0.374 0.374 0.749
0.626 0.626 0.251
```

---

# 2
## CsNaSn2 (meta-GGA SCAN)

Data for CsNaSn2 at its PBEsol-relaxed geometry.

Values from the calculation:
- Formation energy from the elements: 161 meV per atom
- Magnetization: 0.00 μB/f.u.
- Total energy: -113.22 eV per cell

Structure (POSCAR):
```
CsNaSn2
1.0
-3.728 -4.329 -0.059
-1.523 -2.525 4.893
-5.270 0.740 2.077
Cs Na Sn
1 1 2
Direct
0.500 0.500 0.500
0.000 0.000 0.000
0.250 0.250 0.250
0.750 0.750 0.750
```